[1]
Fe2BW: relaxed, PBE.

The structure in POSCAR format:
```
Fe2BW
1.0
-1.2585 -2.1043 -1.7718
0.9796 -1.8030 4.0289
-5.9268 1.6934 2.1988
Fe B W
4 2 2
Direct
0.3558 0.7112 0.5560
0.6442 0.2888 0.4440
0.3558 0.7112 0.9440
0.6442 0.2888 0.0560
0.7701 0.5402 0.7500
0.2299 0.4598 0.2500
0.9405 0.8806 0.2500
0.0595 0.1194 0.7500
```

Properties
Space group: No. 63
Total DFT energy (no corrections) in eV/atom: -9.4110
Formation enthalpy at 0 K in meV/atom: -272

[2]
LaScSi2Pt5: relaxed, PBE.

The structure in POSCAR format:
```
LaScSi2Pt5
1.0
4.1047 0.0000 0.0000
0.0000 4.1047 0.0000
0.0000 0.0000 10.8506
La Sc Si Pt
1 1 2 5
Direct
0.0000 0.0000 0.5000
0.0000 0.0000 0.0000
0.5000 0.5000 0.2829
0.5000 0.5000 0.7171
0.0000 0.5000 0.8265
0.5000 0.0000 0.8265
0.0000 0.5000 0.1735
0.5000 0.0000 0.1735
0.5000 0.5000 0.5000
```

Properties
Space group: No. 123
Total DFT energy (no corrections) in eV/atom: -6.7422
Raw formation energy in eV per atom: -0.9301